The following is a PBE calculation of LiCd4Ga after structural relaxation, from the Alexandria database.

Cell lengths 5.9700, 7.4512, 6.1355 Å; angles 90.00, 104.32, 90.00 degrees
Space group P2_1/m (No. 11)
Asymmetric unit:
Li1 0.0591 0.2500 0.2633 x2
Cd1 0.0797 0.7500 0.3246 x2
Cd2 0.2512 0.0024 0.0034 x4
Cd3 0.4114 0.2500 0.6606 x2
Ga1 0.4263 0.7500 0.7310 x2

Values from the calculation:
Energy above the lowest structure with this stoichiometry ... 53 meV per atom

---

The following is a PBE calculation of AcLaN after structural relaxation, from the Alexandria database.

Cell lengths 5.3766, 5.3766, 8.3931 Å; angles 90.00, 90.00, 90.00 degrees
Space group I4mm (No. 107)
Asymmetric unit:
Ac1 0.0000 0.0000 0.0000 x2
La1 0.0000 0.0000 0.4970 x2
N1 0.0000 0.0000 0.7382 x2

Values from the calculation:
Energy above the lowest structure with this stoichiometry ... 809 meV per atom
Energy relative to the elements, uncorrected ... 0.0400 eV/atom

---

The following is a PBE calculation of Pt4RhAu after structural relaxation, from the Alexandria database.

Cell lengths 7.4215, 7.4215, 7.4215 Å; angles 90.00, 90.00, 90.00 degrees
Space group F-43m (No. 216)
Asymmetric unit:
Pt1 0.1249 0.1249 0.1249 x16
Rh1 0.2500 0.2500 0.7500 x4
Au1 0.0000 0.0000 0.5000 x4

Values from the calculation:
Energy above the lowest structure with this stoichiometry ... 113 meV per atom

---

The following is a PBE calculation of InIr2Br after structural relaxation, from the Alexandria database.

Cell lengths 3.0304, 4.0113, 6.0030 Å; angles 90.00, 90.00, 90.00 degrees
Space group Pmm2 (No. 25)
Asymmetric unit:
In1 0.0000 0.0000 0.0000 x1
Ir1 0.0000 0.0000 0.4780 x1
Ir2 0.5000 0.5000 0.2100 x1
Br1 0.5000 0.5000 0.6234 x1

Values from the calculation:
Energy above the lowest structure with this stoichiometry ... 292 meV per atom
Energy relative to the elements, uncorrected ... 0.5842 eV/atom

---

The following is a PBE calculation of PrPuIN2 after structural relaxation, from the Alexandria database.

Cell lengths 7.4687, 4.1858, 8.0214 Å; angles 90.00, 106.41, 90.00 degrees
Space group P2_1/m (No. 11)
Asymmetric unit:
Pr1 0.1565 0.2500 0.4186 x2
Pu1 0.1367 0.2500 0.9116 x2
I1 0.4631 0.7500 0.7442 x2
N1 0.0022 0.7500 0.3592 x2
N2 0.0282 0.7500 0.8990 x2

Values from the calculation:
Energy relative to the elements, uncorrected ... -1.3251 eV/atom

---

The following is a PBE calculation of MgTl2Ru after structural relaxation, from the Alexandria database.

Cell lengths 3.3062, 3.3062, 27.1747 Å; angles 90.00, 90.00, 120.00 degrees
Space group R-3m (No. 166, hexagonal axes)
Asymmetric unit:
Mg1 0.0000 0.0000 0.0000 x3
Tl1 0.0000 0.0000 0.2431 x6
Ru1 0.0000 0.0000 0.5000 x3

Values from the calculation:
Energy above the lowest structure with this stoichiometry ... 158 meV per atom